# SmMn2SnO6

SmMn2SnO6 after structural relaxation (PBE+U, Alexandria via LeMat-Bulk).

abc: 5.473 5.572 5.846
angles: 63.04 61.93 58.31
Sites, in units of the cell vectors:
Sm 0.791 0.803 0.601
Mn 0.524 0.529 0.416
Mn 0.009 0.018 0.964
Sn 0.312 0.320 0.046
O 0.621 0.219 0.228
O 0.223 0.934 0.217
O 0.925 0.595 0.256
O 0.360 0.729 0.770
O 0.738 0.134 0.769
O 0.158 0.381 0.747

Magnetization, μB per cell: 9.0
Symmetry: No. 1
Final energy, eV per cell: -74.1
Calculated volume, Å³ per cell: 128.7